# 1
A plane-wave DFT calculation with GGA-PBE was carried out for a relaxed structure of BaHfF2.

Output
- VASP energy (eV per atom) = -5.80
- total moment (μB per formula unit) = 0.000

Cell lengths 5.058, 5.058, 13.904 Å; angles 90.00, 90.00, 90.00 degrees
Space group I4_1/amd (No. 141, origin choice 2)
One atom of each set of equivalent atoms:
Ba (0.000, 0.250, 0.375) (multiplicity 4)
Hf (0.000, 0.250, 0.875) (multiplicity 4)
F (0.000, 0.000, 0.000) (multiplicity 8)

# 2
A plane-wave DFT calculation with GGA-PBE was carried out for a relaxed structure of CeI2Br6.

Output
- VASP energy (eV per atom) = -2.99
- total moment (μB per formula unit) = 0.171

Cell lengths 15.502, 13.795, 8.123 Å; angles 90.00, 99.65, 90.00 degrees
Space group C2/c (No. 15)
One atom of each set of equivalent atoms:
Ce (0.000, 0.076, 0.250) (multiplicity 4)
I (0.137, 0.500, 0.159) (multiplicity 8)
Br (0.091, 0.076, 0.963) (multiplicity 8)
Br (0.119, 0.205, 0.389) (multiplicity 8)
Br (0.137, 0.369, 0.909) (multiplicity 8)

Copy entry 1 word for word.
A plane-wave DFT calculation with GGA-PBE was carried out for a relaxed structure of BaHfF2.

Output
- VASP energy (eV per atom) = -5.80
- total moment (μB per formula unit) = 0.000

Cell lengths 5.058, 5.058, 13.904 Å; angles 90.00, 90.00, 90.00 degrees
Space group I4_1/amd (No. 141, origin choice 2)
One atom of each set of equivalent atoms:
Ba (0.000, 0.250, 0.375) (multiplicity 4)
Hf (0.000, 0.250, 0.875) (multiplicity 4)
F (0.000, 0.000, 0.000) (multiplicity 8)

What did the first record say?
A plane-wave DFT calculation with GGA-PBE was carried out for a relaxed structure of BaHfF2.

Output
- VASP energy (eV per atom) = -5.80
- total moment (μB per formula unit) = 0.000

Cell lengths 5.058, 5.058, 13.904 Å; angles 90.00, 90.00, 90.00 degrees
Space group I4_1/amd (No. 141, origin choice 2)
One atom of each set of equivalent atoms:
Ba (0.000, 0.250, 0.375) (multiplicity 4)
Hf (0.000, 0.250, 0.875) (multiplicity 4)
F (0.000, 0.000, 0.000) (multiplicity 8)